# 1
Entry from Alexandria via LeMat-Bulk: a geometry-optimized Y4Ti6Bi2O21 structure (GGA-PBE).

Summary:
- raw formation energy (eV per atom) = -2.946

Lattice parameters (Å, degrees): 7.2510 7.3387 16.3886 103.25 102.40 90.01
Element x y z (fractional)
Y 0.6771 0.1303 0.3216
Y 0.3458 0.8525 0.6548
Y 0.6404 0.6870 0.8408
Y 0.2989 0.2882 0.1536
Y 0.0003 0.0357 0.5107
Y 0.9652 0.5254 0.4882
Y 0.6631 0.1799 0.8223
Y 0.3196 0.8073 0.1814
Ti 0.3363 0.3407 0.6600
Ti 0.9920 0.0067 0.9910
Ti 0.6607 0.6530 0.3261
Ti 0.8395 0.3299 0.6721
Ti 0.5019 0.9838 0.0064
Ti 0.1676 0.6869 0.3428
Ti 0.1918 0.1633 0.8330
Ti 0.8423 0.8225 0.1632
Ti 0.5143 0.5171 0.5063
Ti 0.1762 0.6610 0.8298
Ti 0.8468 0.3228 0.1750
Ti 0.5165 0.0076 0.4959
Bi 0.5324 0.4698 0.0179
Bi 0.1938 0.2065 0.3489
Bi 0.8602 0.8185 0.6787
Bi 0.0145 0.5228 0.9860
O 0.0507 0.8024 0.5790
O 0.7093 0.4608 0.9117
O 0.3807 0.1110 0.2471
O 0.3003 0.5292 0.0924
O 0.9470 0.2239 0.4206
O 0.6181 0.8785 0.7529
O 0.2659 0.0212 0.0459
O 0.9341 0.6928 0.3826
O 0.6106 0.3572 0.7171
O 0.1435 0.8900 0.7779
O 0.7991 0.5443 0.1221
O 0.4731 0.2378 0.4491
O 0.0031 0.1476 0.9115
O 0.6594 0.8173 0.2479
O 0.3553 0.5103 0.5908
O 0.3972 0.7717 0.9122
O 0.0825 0.4086 0.2489
O 0.7409 0.1130 0.5775
O 0.4139 0.1632 0.9151
O 0.0662 0.7999 0.2473
O 0.7495 0.5050 0.5813
O 0.9992 0.7530 0.9147
O 0.6808 0.4126 0.2566
O 0.3363 0.0991 0.5821
O 0.0620 0.3120 0.6187
O 0.7188 0.9650 0.9500
O 0.3878 0.6471 0.2893
O 0.1782 0.4377 0.8758
O 0.8458 0.0921 0.2149
O 0.5149 0.7883 0.5469
O 0.3355 0.1691 0.7485
O 0.9988 0.8233 0.0850
O 0.6530 0.5323 0.4209
O 0.9231 0.5819 0.7476
O 0.5807 0.2320 0.0866
O 0.2517 0.9187 0.4180
O 0.9206 0.1765 0.7487
O 0.5910 0.8291 0.0809
O 0.2439 0.5145 0.4213
O 0.3336 0.5696 0.7550
O 0.9839 0.2175 0.0861
O 0.6626 0.9231 0.4150


# 2
Entry from Alexandria via LeMat-Bulk: a geometry-optimized ZrTi2BiO structure (GGA-PBE).

Summary:
- raw formation energy (eV per atom) = -0.980

Lattice parameters (Å, degrees): 4.2242 4.2242 4.6942 90.00 90.00 90.00
Element x y z (fractional)
O 0.0000 0.0000 0.0000
Bi 0.5000 0.5000 0.5000
Zr 0.0000 0.0000 0.5000
Ti 0.0000 0.5000 0.0000
Ti 0.5000 0.0000 0.0000


# 3
Entry from Alexandria via LeMat-Bulk: a geometry-optimized Tl3Bi2O4 structure (GGA-PBE).

Summary:
- raw formation energy (eV per atom) = -0.775

Lattice parameters (Å, degrees): 3.4348 7.1794 9.5818 100.78 90.00 103.84
Element x y z (fractional)
Tl 0.4874 0.9748 0.6684
Tl 0.0000 0.0000 0.0000
Tl 0.5126 0.0252 0.3316
Bi 0.2663 0.5325 0.1676
Bi 0.7337 0.4675 0.8324
O 0.6732 0.3464 0.0240
O 0.1263 0.2527 0.7476
O 0.8737 0.7473 0.2524
O 0.3268 0.6536 0.9760


Number 1: Fermi-level density of states 0.000 states/eV/atom, total energy -8.555 eV per atom, spin magnetization 0.0 μB per formula unit. Number 2: Fermi-level density of states 1.259 states/eV/atom, total energy -7.615 eV per atom, spin magnetization 0.0 μB per formula unit. Number 3: Fermi-level density of states 0.235 states/eV/atom, total energy -4.630 eV per atom, spin magnetization 0.0 μB per formula unit.